Density functional theory data (PBE) for a geometry-optimized PC2 structure.

Values from the calculation:
* total energy: -5.863 eV/atom
* symmetry: R3m
* energy of formation from the pure elements: 2.09 eV/atom
* polymorph energy (0 for the lowest one): 1860.2 meV per atom

Cell lengths 5.2096, 5.2096, 5.2096 Å; angles 31.65, 31.65, 31.65 degrees
Last column: nearest neighbours and their distance in Å.
Element x y z (fractional)
P 0.0000 0.0000 0.0000  6 C 1.90
C 0.7315 0.7315 0.7315  3 P 1.90, 1 C 1.92
C 0.6018 0.6018 0.6018  3 P 1.90, 1 C 1.92


Density functional theory data (PBE) for a geometry-optimized P2C3 structure.

Values from the calculation:
* total energy: -6.989 eV/atom
* symmetry: C2
* energy of formation from the pure elements: 0.71 eV/atom
* polymorph energy (0 for the lowest one): 256.9 meV per atom

Cell lengths 5.3119, 4.7916, 7.8195 Å; angles 90.00, 129.18, 90.00 degrees
Last column: nearest neighbours and their distance in Å.
Element x y z (fractional)
P 0.8599 0.3831 0.3131  2 C 1.85-1.86
P 0.1401 0.3831 0.6869  2 C 1.85-1.86
P 0.8599 0.8831 0.8131  2 C 1.85-1.86
P 0.1401 0.8831 0.1869  2 C 1.85-1.86
C 0.5000 0.2378 0.5000  2 C 1.32
C 0.5000 0.7378 0.0000  2 C 1.32
C 0.8123 0.7097 0.1674  1 C 1.32
C 0.1877 0.7097 0.8326  1 C 1.32
C 0.8123 0.2097 0.6674  1 C 1.32
C 0.1877 0.2097 0.3326  1 C 1.32


Density functional theory data (PBE) for a geometry-optimized PC3 structure.

Values from the calculation:
* total energy: -5.002 eV/atom
* symmetry: Fm-3m
* energy of formation from the pure elements: 3.27 eV/atom
* polymorph energy (0 for the lowest one): 2624.9 meV per atom

Cell lengths 3.5893, 3.5893, 3.5893 Å; angles 60.00, 60.00, 60.00 degrees
Last column: nearest neighbours and their distance in Å.
Element x y z (fractional)
P 0.7500 0.7500 0.7500  8 C 2.20
C 0.0000 0.0000 0.0000  4 C 2.20, 4 P 2.20
C 0.2500 0.2500 0.2500  8 C 2.20
C 0.5000 0.5000 0.5000  4 C 2.20, 4 P 2.20


Density functional theory data (PBE) for a geometry-optimized PC2 structure.

Values from the calculation:
* total energy: -6.136 eV/atom
* symmetry: I4/mcm
* energy of formation from the pure elements: 1.82 eV/atom
* polymorph energy (0 for the lowest one): 1586.6 meV per atom

Cell lengths 4.0223, 4.0223, 4.0223 Å; angles 115.72, 115.72, 97.59 degrees
Last column: nearest neighbours and their distance in Å.
Element x y z (fractional)
P 0.2500 0.2500 0.0000  8 C 2.17
P 0.7500 0.7500 0.0000  8 C 2.17
C 0.3839 0.8839 0.2678  1 C 1.41
C 0.6161 0.1161 0.7322  1 C 1.41
C 0.1161 0.3839 0.5000  1 C 1.41
C 0.8839 0.6161 0.5000  1 C 1.41


Density functional theory data (PBE) for a geometry-optimized P5C3 structure.

Values from the calculation:
* total energy: -5.431 eV/atom
* symmetry: Cmmm
* energy of formation from the pure elements: 1.41 eV/atom
* polymorph energy (0 for the lowest one): 812.0 meV per atom

Cell lengths 4.0093, 4.0093, 7.3578 Å; angles 90.00, 90.00, 90.01 degrees
Last column: nearest neighbours and their distance in Å.
Element x y z (fractional)
P 0.0000 0.0000 0.0000  4 P 2.00
P 0.0000 0.5000 0.0000  2 C 2.00, 2 P 2.00
P 0.5000 0.0000 0.0000  2 C 2.00, 2 P 2.00
P 0.2504 0.2504 0.5000  4 C 2.00-2.01
P 0.7496 0.7496 0.5000  4 C 2.00-2.01
C 0.5000 0.5000 0.0000  4 P 2.00
C 0.7498 0.2502 0.5000  4 P 2.00-2.01
C 0.2502 0.7498 0.5000  4 P 2.00-2.01


Density functional theory data (PBE) for a geometry-optimized PC3 structure.

Values from the calculation:
* total energy: -7.623 eV/atom
* symmetry: P1
* energy of formation from the pure elements: 0.65 eV/atom
* polymorph energy (0 for the lowest one): 4.3 meV per atom

Cell lengths 2.6883, 4.4071, 4.7218 Å; angles 64.20, 90.01, 71.95 degrees
Last column: nearest neighbours and their distance in Å.
Element x y z (fractional)
P 0.8434 0.1562 0.9546  3 C 1.71-1.76
C 0.4070 0.0310 0.2055  1 C 1.42
C 0.9119 0.0215 0.6524  2 C 1.50
C 0.4125 0.0202 0.5099  3 C 1.42-1.50


Density functional theory data (PBE) for a geometry-optimized PC2 structure.

Values from the calculation:
* total energy: -6.806 eV/atom
* symmetry: P-6m2
* energy of formation from the pure elements: 1.15 eV/atom
* polymorph energy (0 for the lowest one): 917.2 meV per atom

Cell lengths 2.8154, 2.8154, 3.7131 Å; angles 90.00, 90.00, 120.00 degrees
Last column: nearest neighbours and their distance in Å.
Element x y z (fractional)
P 0.3333 0.6667 0.5000  6 C 2.00
C 0.0000 0.0000 0.8132  1 C 1.39
C 0.0000 0.0000 0.1868  1 C 1.39


Density functional theory data (PBE) for a geometry-optimized PC2 structure.

Values from the calculation:
* total energy: -6.296 eV/atom
* symmetry: P-31m
* energy of formation from the pure elements: 1.66 eV/atom
* polymorph energy (0 for the lowest one): 1427.3 meV per atom

Cell lengths 4.8635, 4.8635, 3.9078 Å; angles 90.00, 90.00, 120.00 degrees
Last column: nearest neighbours and their distance in Å.
Element x y z (fractional)
P 0.0000 0.0000 0.0000  6 C 1.87
P 0.3333 0.6667 0.5000  6 C 1.88
P 0.6667 0.3333 0.5000  6 C 1.88
C 0.3071 0.3071 0.7105  3 P 1.87-1.88
C 0.6929 0.0000 0.7105  3 P 1.87-1.88
C 0.0000 0.6929 0.7105  3 P 1.87-1.88
C 0.0000 0.3071 0.2895  3 P 1.87-1.88
C 0.3071 0.0000 0.2895  3 P 1.87-1.88
C 0.6929 0.6929 0.2895  3 P 1.87-1.88


Density functional theory data (PBE) for a geometry-optimized PC3 structure.

Values from the calculation:
* total energy: -7.589 eV/atom
* symmetry: P1
* energy of formation from the pure elements: 0.68 eV/atom
* polymorph energy (0 for the lowest one): 37.9 meV per atom

Cell lengths 3.6040, 3.8828, 4.3082 Å; angles 92.91, 92.11, 90.00 degrees
Last column: nearest neighbours and their distance in Å.
Element x y z (fractional)
P 0.3619 0.0511 0.9902  3 C 1.81
C 0.0472 0.7065 0.8539  2 C 1.38-1.44
C 0.3546 0.4700 0.8253  2 C 1.44
C 0.6646 0.7065 0.8539  2 C 1.38-1.44


Density functional theory data (PBE) for a geometry-optimized PC3 structure.

Values from the calculation:
* total energy: -6.081 eV/atom
* symmetry: I4/mmm
* energy of formation from the pure elements: 2.19 eV/atom
* polymorph energy (0 for the lowest one): 1546.0 meV per atom

Cell lengths 5.0712, 5.0712, 5.0712 Å; angles 94.78, 94.78, 146.46 degrees
Last column: nearest neighbours and their distance in Å.
Element x y z (fractional)
P 0.0000 0.0000 0.0000  2 C 1.46
C 0.2500 0.7500 0.5000  2 C 1.46
C 0.5000 0.5000 0.0000  2 P 1.46
C 0.7500 0.2500 0.5000  2 C 1.46


Density functional theory data (PBE) for a geometry-optimized PC3 structure.

Values from the calculation:
* total energy: -7.254 eV/atom
* symmetry: C2/m
* energy of formation from the pure elements: 1.02 eV/atom
* polymorph energy (0 for the lowest one): 373.2 meV per atom

Cell lengths 3.7720, 3.7720, 7.4544 Å; angles 42.69, 42.69, 37.49 degrees
Last column: nearest neighbours and their distance in Å.
Element x y z (fractional)
P 0.0000 0.0000 0.0000  4 C 2.38-2.45, 2 P 2.42
C 0.5000 0.5000 0.5000  2 C 1.40
C 0.7087 0.7087 0.4834  3 C 1.40-1.45
C 0.2913 0.2913 0.5166  3 C 1.40-1.45


Density functional theory data (PBE) for a geometry-optimized PC3 structure.

Values from the calculation:
* total energy: -7.548 eV/atom
* symmetry: Pm
* energy of formation from the pure elements: 0.72 eV/atom
* polymorph energy (0 for the lowest one): 79.6 meV per atom

Cell lengths 3.0195, 3.6330, 3.8777 Å; angles 89.99, 66.93, 89.97 degrees
Last column: nearest neighbours and their distance in Å.
Element x y z (fractional)
P 0.0111 0.9546 0.0716  4 C 1.76-1.93
C 0.2007 0.2639 0.6919  2 C 1.38-1.52
C 0.2006 0.6451 0.6919  2 C 1.38-1.52
C 0.3443 0.9545 0.4066  2 C 1.52


Q: Number 12 is which compound?
A: PC3